No. 1
A plane-wave DFT calculation with PBE was carried out for Ti2NiPRh after structural relaxation.

Unit cell a=4.726 b=4.726 c=4.318 alpha=90.00 beta=90.00 gamma=90.00
Sites, in units of the cell vectors:
1 Ti 0.000 0.500 0.000
2 Ti 0.500 0.000 0.000
3 Ni 0.000 0.000 0.500
4 P 0.500 0.500 0.500
5 Rh 0.500 0.500 0.000

Properties
Its energy relative to the elements is 2.65 eV/f.u. As for the space group: P4/mmm.

***

No. 2
A plane-wave DFT calculation with PBE was carried out for SnAsO4 after structural relaxation.

Unit cell a=4.609 b=16.205 c=5.223 alpha=90.00 beta=92.64 gamma=90.00
Sites, in units of the cell vectors:
1 Sn 0.109 0.171 0.381
2 Sn 0.109 0.329 0.881
3 Sn 0.891 0.671 0.119
4 Sn 0.891 0.829 0.619
5 As 0.391 0.653 0.619
6 As 0.391 0.847 0.119
7 As 0.609 0.153 0.881
8 As 0.609 0.347 0.381
9 O 0.137 0.714 0.780
10 O 0.137 0.786 0.280
11 O 0.196 0.601 0.382
12 O 0.196 0.899 0.882
13 O 0.355 0.214 0.042
14 O 0.355 0.286 0.542
15 O 0.415 0.101 0.642
16 O 0.415 0.399 0.142
17 O 0.585 0.601 0.858
18 O 0.585 0.899 0.358
19 O 0.645 0.714 0.458
20 O 0.645 0.786 0.958
21 O 0.804 0.101 0.118
22 O 0.804 0.399 0.618
23 O 0.863 0.214 0.720
24 O 0.863 0.286 0.220

Properties
The calculation puts the energy relative to the elements, uncorrected at -1146.0 meV/atom. As for the space group: P2_1/c.

***

No. 3
A plane-wave DFT calculation with PBE was carried out for Ba4Rh2I after structural relaxation.

Unit cell a=9.686 b=9.686 c=9.686 alpha=120.22 beta=120.22 gamma=89.61
Sites, in units of the cell vectors:
1 Ba 0.268 0.730 0.539
2 Ba 0.270 0.309 0.539
3 Ba 0.270 0.732 0.961
4 Ba 0.309 0.270 0.039
5 Ba 0.691 0.730 0.961
6 Ba 0.730 0.268 0.039
7 Ba 0.730 0.691 0.461
8 Ba 0.732 0.270 0.461
9 Rh 0.000 0.500 0.500
10 Rh 0.500 0.000 0.000
11 Rh 0.500 0.500 0.000
12 Rh 0.500 0.500 0.500
13 I 0.125 0.875 0.250
14 I 0.875 0.125 0.750

Properties
The calculation puts the energy relative to the elements, uncorrected at -435.1 meV/atom. As for the space group: I4_1/amd.

***

no.,energy (eV/atom),spin magnetization (μB/f.u.)
1,-6.336,0.012
2,-5.894,0.000
3,-3.856,0.000